VASP calculation (PBE-GGA) on a relaxed structure of La2CoGeTe.

Geometry as CIF:
```
data_La2CoGeTe
_chemical_formula_sum 'La2 Co1 Ge1 Te1'
_cell_length_a 5.512
_cell_length_b 5.512
_cell_length_c 4.402
_cell_angle_alpha 90.00
_cell_angle_beta 90.00
_cell_angle_gamma 90.00
_space_group_name_H-M_alt 'P 4/m m m'
_space_group_IT_number 123
_space_group_name_Hall '-P 4 2'
loop_
_atom_site_label
_atom_site_type_symbol
_atom_site_fract_x
_atom_site_fract_y
_atom_site_fract_z
La1 La 0.000 0.500 0.000
Co1 Co 0.000 0.000 0.000
Ge1 Ge 0.000 0.000 0.500
Te1 Te 0.500 0.500 0.500
```

Properties
Total energy, eV/atom: -5.7724
Crystal system: tetragonal
ΔE_f (raw), eV/atom: -0.828